# PuScSe3, optimized geometry, DFT PBE
data_PuScSe3
_symmetry_space_group_name_H-M 'P n m a'
_symmetry_Int_Tables_number 62
_symmetry_space_group_name_Hall '-P 2ac 2n'
_cell_length_a 7.5088
_cell_length_b 4.0217
_cell_length_c 15.3955
_cell_angle_alpha 90.00
_cell_angle_beta 90.00
_cell_angle_gamma 90.00
loop_
_atom_site_label
_atom_site_fract_x
_atom_site_fract_y
_atom_site_fract_z
Pu1 0.1417 0.2500 0.2010
Sc1 0.2298 0.7500 0.4575
Se1 0.0120 0.2500 0.3973
Se2 0.1255 0.7500 0.0591
Se3 0.1495 0.2500 0.7851
# * magnetization: 20.00 μB/cell
# * VASP energy: -7.76 eV per atom
# * polymorph energy (0 for the lowest one): 0 meV/atom
# * calculated volume: 23.25 A^3/atom
# * raw formation energy: -1.54 eV/atom

=====

# Pu3ScSe4, optimized geometry, DFT PBE
data_Pu3ScSe4
_symmetry_space_group_name_H-M 'C m m m'
_symmetry_Int_Tables_number 65
_symmetry_space_group_name_Hall '-C 2 2'
_cell_length_a 8.1795
_cell_length_b 11.5395
_cell_length_c 4.0780
_cell_angle_alpha 90.00
_cell_angle_beta 90.00
_cell_angle_gamma 90.00
loop_
_atom_site_label
_atom_site_fract_x
_atom_site_fract_y
_atom_site_fract_z
Pu1 0.0000 0.0000 0.0000
Pu2 0.2500 0.2500 0.5000
Sc1 0.0000 0.5000 0.0000
Se1 0.0000 0.2565 0.0000
Se2 0.2371 0.5000 0.5000
# * magnetization: 35.03 μB/cell
# * VASP energy: -9.45 eV per atom
# * calculated volume: 24.06 A^3/atom
# * raw formation energy: -1.54 eV/atom

=====

# PuScSe, optimized geometry, DFT PBE
data_PuScSe
_symmetry_space_group_name_H-M 'P 4/n m m'
_symmetry_Int_Tables_number 129
_cell_length_a 3.8408
_cell_length_b 3.8408
_cell_length_c 8.2717
_cell_angle_alpha 90.00
_cell_angle_beta 90.00
_cell_angle_gamma 90.00
loop_
_symmetry_equiv_pos_as_xyz
'x,y,z'
'-x,-y,-z'
'-y+1/2,x,z'
'y+1/2,-x,-z'
'-x+1/2,-y+1/2,z'
'x+1/2,y+1/2,-z'
'y,-x+1/2,z'
'-y,x+1/2,-z'
'x+1/2,-y,-z'
'-x+1/2,y,z'
'-y,-x,-z'
'y,x,z'
'-x,y+1/2,-z'
'x,-y+1/2,z'
'y+1/2,x+1/2,-z'
'-y+1/2,-x+1/2,z'
loop_
_atom_site_label
_atom_site_fract_x
_atom_site_fract_y
_atom_site_fract_z
Pu1 0.2500 0.7500 0.0000
Sc1 0.2500 0.2500 0.3693
Se1 0.2500 0.2500 0.7014
# * magnetization: 9.20 μB/cell
# * VASP energy: -8.92 eV per atom
# * polymorph energy (0 for the lowest one): 0 meV/atom
# * calculated volume: 20.34 A^3/atom
# * raw formation energy: -0.87 eV/atom

=====

# Pu4ScSe5, optimized geometry, DFT PBE
data_Pu4ScSe5
_symmetry_space_group_name_H-M 'I 4/m m m'
_symmetry_Int_Tables_number 139
_symmetry_space_group_name_Hall '-I 4 2'
_cell_length_a 4.1094
_cell_length_b 4.1094
_cell_length_c 28.8800
_cell_angle_alpha 90.00
_cell_angle_beta 90.00
_cell_angle_gamma 90.00
loop_
_atom_site_label
_atom_site_fract_x
_atom_site_fract_y
_atom_site_fract_z
Pu1 0.0000 0.0000 0.0981
Pu2 0.0000 0.0000 0.3014
Sc1 0.0000 0.0000 0.5000
Se1 0.0000 0.0000 0.0000
Se2 0.0000 0.0000 0.1998
Se3 0.0000 0.0000 0.4039
# * magnetization: 46.42 μB/cell
# * VASP energy: -9.63 eV per atom
# * calculated volume: 24.39 A^3/atom
# * raw formation energy: -1.52 eV/atom

=====

# PuScSe, optimized geometry, DFT PBE
data_PuScSe
_symmetry_space_group_name_H-M 'I 4 m m'
_symmetry_Int_Tables_number 107
_symmetry_space_group_name_Hall 'I 4 -2'
_cell_length_a 3.5448
_cell_length_b 3.5448
_cell_length_c 11.1634
_cell_angle_alpha 90.00
_cell_angle_beta 90.00
_cell_angle_gamma 90.00
loop_
_atom_site_label
_atom_site_fract_x
_atom_site_fract_y
_atom_site_fract_z
Pu1 0.0000 0.0000 0.0000
Sc1 0.0000 0.0000 0.2978
Se1 0.0000 0.0000 0.6885
# * magnetization: 13.11 μB/cell
# * VASP energy: -8.78 eV per atom
# * polymorph energy (0 for the lowest one): 134 meV/atom
# * calculated volume: 23.38 A^3/atom
# * raw formation energy: -0.73 eV/atom

=====

# Pu3Sc4Se8, optimized geometry, DFT PBE
data_Pu3Sc4Se8
_symmetry_space_group_name_H-M 'C 1 2/m 1'
_symmetry_Int_Tables_number 12
_symmetry_space_group_name_Hall '-C 2y'
_cell_length_a 11.2717
_cell_length_b 11.2978
_cell_length_c 7.9295
_cell_angle_alpha 90.00
_cell_angle_beta 134.65
_cell_angle_gamma 90.00
loop_
_atom_site_label
_atom_site_fract_x
_atom_site_fract_y
_atom_site_fract_z
Pu1 0.0000 0.0000 0.0000
Pu2 0.2500 0.2500 0.5000
Sc1 0.0000 0.5000 0.0000
Sc2 0.0000 0.5000 0.5000
Sc3 0.2500 0.2500 0.0000
Se1 0.0000 0.2532 0.5000
Se2 0.0000 0.2567 0.0000
Se3 0.2384 0.5000 0.4845
Se4 0.2407 0.5000 0.9946
# * magnetization: 11.14 μB/cell
# * VASP energy: -8.01 eV per atom
# * calculated volume: 23.94 A^3/atom
# * raw formation energy: -1.60 eV/atom

=====

# PuSc6Se8, optimized geometry, DFT PBE
data_PuSc6Se8
_symmetry_space_group_name_H-M 'F m -3 m'
_symmetry_Int_Tables_number 225
_symmetry_space_group_name_Hall '-F 4 2 3'
_cell_length_a 10.9736
_cell_length_b 10.9736
_cell_length_c 10.9736
_cell_angle_alpha 90.00
_cell_angle_beta 90.00
_cell_angle_gamma 90.00
loop_
_atom_site_label
_atom_site_fract_x
_atom_site_fract_y
_atom_site_fract_z
Pu1 0.0000 0.0000 0.0000
Sc1 0.0000 0.2500 0.2500
Se1 0.0000 0.0000 0.2622
Se2 0.2500 0.2500 0.2500
# * magnetization: 25.38 μB/cell
# * VASP energy: -6.97 eV per atom
# * calculated volume: 22.02 A^3/atom
# * raw formation energy: -1.63 eV/atom

=====

# Pu2ScSe3, optimized geometry, DFT PBE
data_Pu2ScSe3
_symmetry_space_group_name_H-M 'I m m m'
_symmetry_Int_Tables_number 71
_symmetry_space_group_name_Hall '-I 2 2'
_cell_length_a 4.0445
_cell_length_b 5.7684
_cell_length_c 12.1544
_cell_angle_alpha 90.00
_cell_angle_beta 90.00
_cell_angle_gamma 90.00
loop_
_atom_site_label
_atom_site_fract_x
_atom_site_fract_y
_atom_site_fract_z
Pu1 0.0000 0.0000 0.1692
Sc1 0.0000 0.0000 0.5000
Se1 0.0000 0.5000 0.1568
Se2 0.0000 0.5000 0.5000
# * magnetization: 23.24 μB/cell
# * VASP energy: -9.11 eV per atom
# * polymorph energy (0 for the lowest one): 0 meV/atom
# * calculated volume: 23.63 A^3/atom
# * raw formation energy: -1.54 eV/atom